Here is an optimized crystal structure of NaVZn from Alexandria. Energies are from PBE.

Output
The value obtained for the total energy is -0.1370 Ha/atom.

a b c (Å): 15.3207 2.7492 2.7492
angles (deg): 108.35 103.71 76.29
Closest atoms and distances in Å follow each position.
Fractional positions:
V  0.3018  0.0069  0.9931  6 V 2.46-2.75, 2 Zn 2.67
V  0.4292  0.3796  0.6204  6 V 2.46-2.75, 2 Zn 2.67
Zn  0.5742  0.7302  0.2698  2 V 2.67, 4 Zn 2.75
Zn  0.1568  0.6515  0.3485  2 V 2.67, 4 Zn 2.75
Na  0.9742  0.3313  0.6687  4 Na 2.75
Na  0.7569  0.0447  0.9553  4 Na 2.75

***

Here is an optimized crystal structure of AcZnSi2 from Alexandria. Energies are from PBE.

Output
The formation energy from raw total energies is 0.04 eV per atom.

a b c (Å): 5.4543 5.4543 4.8579
angles (deg): 55.85 55.85 60.00
Closest atoms and distances in Å follow each position.
Fractional positions:
Si  0.2176  0.2176  0.3471  1 Zn 2.41
Si  0.7824  0.7824  0.6529  1 Zn 2.41
Ac  0.5000  0.5000  0.5000  8 Si 3.13-3.20
Zn  0.0000  0.0000  0.0000  2 Si 2.41

***

Here is an optimized crystal structure of NaTeF3 from Alexandria. Energies are from PBE.

Output
The formation energy from raw total energies is -1.37 eV per atom.

a b c (Å): 4.1543 4.1543 4.1543
angles (deg): 90.00 90.00 90.00
Closest atoms and distances in Å follow each position.
Fractional positions:
Na  0.0000  0.0000  0.0000  6 F 2.08
F  0.5000  0.0000  0.0000  2 Na 2.08
F  0.0000  0.5000  0.0000  2 Na 2.08
F  0.0000  0.0000  0.5000  2 Na 2.08
Te  0.5000  0.5000  0.5000  12 F 2.94

***

Here is an optimized crystal structure of Ba2SiAs3 from Alexandria. Energies are from PBE.

Output
The formation energy from raw total energies is -0.77 eV per atom.

a b c (Å): 6.5904 7.7570 15.9889
angles (deg): 89.97 89.93 64.86
Closest atoms and distances in Å follow each position.
Fractional positions:
Si  0.2425  0.0145  0.3462  4 As 2.32-2.49
Si  0.2570  0.9855  0.8462  4 As 2.32-2.49
Si  0.7430  0.0145  0.1538  4 As 2.32-2.49
Si  0.7575  0.9855  0.6538  4 As 2.32-2.49
As  0.0681  0.8638  0.2500  2 Si 2.49
As  0.8512  0.7987  0.0409  1 Si 2.36
As  0.0784  0.3431  0.3621  1 Si 2.32
As  0.9319  0.1362  0.7500  2 Si 2.49
As  0.3502  0.7987  0.4591  1 Si 2.36
As  0.4318  0.1364  0.7500  2 Si 2.49
As  0.1488  0.2013  0.9591  1 Si 2.36
As  0.9216  0.6569  0.6379  1 Si 2.32
As  0.6498  0.2013  0.5409  1 Si 2.36
As  0.4214  0.6569  0.8621  1 Si 2.32
As  0.5682  0.8636  0.2500  2 Si 2.49
As  0.5786  0.3431  0.1379  1 Si 2.32
Ba  0.5526  0.3946  0.3452  5 As 3.33-3.41
Ba  0.6438  0.2115  0.9387  7 As 3.31-3.48, 1 Si 3.71
Ba  0.9473  0.6054  0.8452  5 As 3.33-3.41
Ba  0.4474  0.6054  0.6548  5 As 3.33-3.41
Ba  0.1447  0.2115  0.5613  7 As 3.31-3.48, 1 Si 3.71
Ba  0.3562  0.7885  0.0613  7 As 3.31-3.48, 1 Si 3.71
Ba  0.8553  0.7885  0.4387  7 As 3.31-3.48, 1 Si 3.71
Ba  0.0527  0.3946  0.1548  5 As 3.33-3.41

***

no.,total moment (μB per cell)
1,0.00
2,0.00
3,0.00
4,0.00